A relaxed structure of TaVCoF2. Source: the Alexandria database, functional PBE+U.

The electronic total energy is -5.869 eV per atom.

The structure belongs to space group P4/mmm (No. 123); the cell edges are 4.089, 4.089 and 4.887 Å and the angles 90.00°, 90.00° and 90.00°. The asymmetric unit holds Ta at (0.000, 0.000, 0.000), V at (0.500, 0.500, 0.500), Co at (0.000, 0.000, 0.500) and F at (0.000, 0.500, 0.000).